No. 1
Below is an optimized crystal structure of ZrSb2As, with properties calculated at the GGA-PBE level.

Computed properties:
Electronic total energy = -0.39860 Ry per atom
Formation energy from raw total energies = -0.063 eV/atom

a = 5.0024 Å, b = 5.0024 Å, c = 3.6911 Å
α = 90.00°, β = 90.00°, γ = 90.00°
Space group P4/mmm (No. 123)
Asymmetric unit:
1 Zr 0.0000 0.0000 0.0000
2 Sb 0.0000 0.5000 0.5000
3 As 0.5000 0.5000 0.0000


No. 2
Below is an optimized crystal structure of Zr6Sb2As, with properties calculated at the GGA-PBE level.

Computed properties:
Electronic total energy = -0.57857 Ry per atom
Formation energy from raw total energies = -0.740 eV/atom

a = 3.9082 Å, b = 13.1796 Å, c = 7.6520 Å
α = 90.00°, β = 90.00°, γ = 90.00°
Space group Amm2 (No. 38)
Asymmetric unit:
1 Zr 0.0000 0.0000 0.0000
2 Zr 0.0000 0.1202 0.6192
3 Zr 0.5000 0.0000 0.3446
4 Zr 0.5000 0.1969 0.9437
5 Sb 0.0000 0.1698 0.2455
6 As 0.5000 0.0000 0.7565


No. 3
Below is an optimized crystal structure of ZrSb2As, with properties calculated at the GGA-PBE level.

Computed properties:
Electronic total energy = -0.39202 Ry per atom
Formation energy from raw total energies = 0.027 eV/atom

a = 3.2925 Å, b = 3.2925 Å, c = 30.1670 Å
α = 90.00°, β = 90.00°, γ = 120.00°
Space group R-3m (No. 166, hexagonal axes)
Asymmetric unit:
1 Zr 0.0000 0.0000 0.0000
2 Sb 0.0000 0.0000 0.2536
3 As 0.0000 0.0000 0.5000


No. 4
Below is an optimized crystal structure of ZrSbAs3, with properties calculated at the GGA-PBE level.

Computed properties:
Electronic total energy = -0.32788 Ry per atom
Formation energy from raw total energies = 0.863 eV/atom

a = 5.1261 Å, b = 5.1261 Å, c = 5.1261 Å
α = 90.00°, β = 90.00°, γ = 90.00°
Space group Pm-3m (No. 221)
Asymmetric unit:
1 Zr 0.0000 0.0000 0.0000
2 Sb 0.5000 0.5000 0.5000
3 As 0.0000 0.5000 0.5000


No. 5
Below is an optimized crystal structure of ScAs2, with properties calculated at the GGA-PBE level.

Computed properties:
Formation energy = -565 meV/atom
Electronic total energy = -0.42451 Ry per atom

a = 5.7604 Å, b = 6.9986 Å, c = 3.4150 Å
α = 90.00°, β = 90.00°, γ = 90.00°
Space group Pnnm (No. 58)
Asymmetric unit:
1 Sc 0.0000 0.0000 0.0000
2 As 0.1483 0.3766 0.0000


No. 6
Below is an optimized crystal structure of Sc5As, with properties calculated at the GGA-PBE level.

Computed properties:
Formation energy = 461 meV/atom
Electronic total energy = -0.41085 Ry per atom

a = 5.6881 Å, b = 5.6881 Å, c = 5.5243 Å
α = 90.00°, β = 90.00°, γ = 120.00°
Space group P6/mmm (No. 191)
Asymmetric unit:
1 Sc 0.0000 0.5000 0.0000
2 Sc 0.3333 0.6667 0.5000
3 As 0.0000 0.0000 0.5000


No. 7
Below is an optimized crystal structure of ScAs2, with properties calculated at the GGA-PBE level.

Computed properties:
Formation energy = -710 meV/atom
Electronic total energy = -0.43515 Ry per atom

a = 3.8198 Å, b = 3.8198 Å, c = 31.7999 Å
α = 90.00°, β = 90.00°, γ = 90.00°
Space group I4_1/amd (No. 141, origin choice 2)
Asymmetric unit:
1 Sc 0.0000 0.2500 0.3020
2 As 0.0000 0.2500 0.1254
3 As 0.0000 0.2500 0.7827


No. 8
Below is an optimized crystal structure of ScAs2, with properties calculated at the GGA-PBE level.

Computed properties:
Formation energy = -424 meV/atom
Electronic total energy = -0.41411 Ry per atom

a = 3.7152 Å, b = 13.3166 Å, c = 5.0743 Å
α = 90.00°, β = 90.00°, γ = 90.00°
Space group Cmcm (No. 63)
Asymmetric unit:
1 Sc 0.0000 0.2029 0.2500
2 As 0.0000 0.1434 0.7500
3 As 0.0000 0.4632 0.7500


The highest electronic total energy belongs to which entry? ZrSbAs3


Look up the electronic total energy of the fourth one. -0.32788 Ry per atom


Among the records above, which one has the lowest electronic total energy? Zr6Sb2As